# 1
{
  "formula": "Ho6Er2Ga",
  "functional": "PBE",
  "state": "relaxed",
  "cell": [[4.562, -8.519, 0.000], [4.562, 8.519, 0.000], [0.000, 0.000, 3.497]],
  "species": ["Ho", "Ho", "Ho", "Ho", "Ho", "Ho", "Er", "Er", "Ga"],
  "fractional_positions": [[0.011, 0.335, 0.000], [0.286, 0.286, 0.500], [0.335, 0.011, 0.000], [0.665, 0.989, 0.000], [0.714, 0.714, 0.500], [0.989, 0.665, 0.000], [0.321, 0.679, 0.500], [0.679, 0.321, 0.500], [0.000, 0.000, 0.000]],
  "sg": "No. 65",
  "delta_e_f_ev_per_atom": 0.02
}

=====

# 2
{
  "formula": "RbAgSbSe3",
  "functional": "PBE",
  "state": "relaxed",
  "cell": [[9.380, 0.000, 0.000], [0.000, 4.185, 0.000], [-3.270, 0.000, 9.406]],
  "species": ["Rb", "Rb", "Ag", "Ag", "Sb", "Sb", "Se", "Se", "Se", "Se", "Se", "Se"],
  "fractional_positions": [[0.211, 0.250, 0.258], [0.789, 0.750, 0.742], [0.070, 0.250, 0.595], [0.930, 0.750, 0.405], [0.330, 0.750, 0.863], [0.670, 0.250, 0.137], [0.130, 0.250, 0.880], [0.233, 0.750, 0.556], [0.465, 0.750, 0.156], [0.535, 0.250, 0.844], [0.767, 0.250, 0.444], [0.870, 0.750, 0.120]],
  "sg": "No. 11",
  "formation_energy_uncorrected_mev_per_atom": -448.3
}

=====

Number 1: D(E_F) 11.2 states/eV per cell. Number 2: D(E_F) 9.2 states/eV per cell.